VASP calculation (PBE-GGA) on an optimized crystal structure of AgSbPt3.

```
data_AgSbPt3
_chemical_formula_sum 'Ag1 Sb1 Pt3'
_cell_length_a 4.939
_cell_length_b 4.939
_cell_length_c 4.939
_cell_angle_alpha 90.00
_cell_angle_beta 90.00
_cell_angle_gamma 90.00
_symmetry_space_group_name_H-M 'P m -3 m'
_symmetry_Int_Tables_number 221
_symmetry_space_group_name_Hall '-P 4 2 3'
loop_
_atom_site_label
_atom_site_type_symbol
_atom_site_fract_x
_atom_site_fract_y
_atom_site_fract_z
_atom_site_occupancy
Ag1 Ag 0.000 0.000 0.000 1
Sb1 Sb 0.500 0.500 0.500 1
Pt1 Pt 0.000 0.500 0.500 1
```

Output
Energy relative to the lowest polymorph listed for this composition, meV per atom: 0
Formation energy without anion corrections, eV/atom: 0.748

VASP calculation (PBE-GGA) on an optimized crystal structure of AgSb6Pt.

```
data_AgSb6Pt
_chemical_formula_sum 'Ag4 Sb24 Pt4'
_cell_length_a 13.654
_cell_length_b 9.640
_cell_length_c 9.773
_cell_angle_alpha 90.00
_cell_angle_beta 134.29
_cell_angle_gamma 90.00
_symmetry_space_group_name_H-M 'C 1 2/m 1'
_symmetry_Int_Tables_number 12
loop_
_symmetry_equiv_pos_as_xyz
'x,y,z'
'-x,-y,-z'
'-x,y,-z'
'x,-y,z'
'x+1/2,y+1/2,z'
'-x+1/2,-y+1/2,-z'
'-x+1/2,y+1/2,-z'
'x+1/2,-y+1/2,z'
loop_
_atom_site_label
_atom_site_type_symbol
_atom_site_fract_x
_atom_site_fract_y
_atom_site_fract_z
_atom_site_occupancy
Ag1 Ag 0.250 0.250 0.000 1
Sb1 Sb 0.007 0.153 0.356 1
Sb2 Sb 0.139 0.500 0.791 1
Sb3 Sb 0.151 0.348 0.160 1
Sb4 Sb 0.160 0.500 0.511 1
Pt1 Pt 0.250 0.250 0.500 1
```

Output
Formation energy without anion corrections, eV/atom: -0.099

VASP calculation (PBE-GGA) on an optimized crystal structure of Ag2SbPt.

```
data_Ag2SbPt
_chemical_formula_sum 'Ag8 Sb4 Pt4'
_cell_length_a 7.795
_cell_length_b 7.795
_cell_length_c 5.400
_cell_angle_alpha 90.00
_cell_angle_beta 90.00
_cell_angle_gamma 90.00
_symmetry_space_group_name_H-M 'I -4 2 d'
_symmetry_Int_Tables_number 122
_symmetry_space_group_name_Hall 'I -4 2bw'
loop_
_atom_site_label
_atom_site_type_symbol
_atom_site_fract_x
_atom_site_fract_y
_atom_site_fract_z
_atom_site_occupancy
Ag1 Ag 0.240 0.750 0.125 1
Sb1 Sb 0.000 0.000 0.500 1
Pt1 Pt 0.000 0.000 0.000 1
```

Output
Formation energy without anion corrections, eV/atom: 0.165

VASP calculation (PBE-GGA) on an optimized crystal structure of Ag2SbPt.

```
data_Ag2SbPt
_chemical_formula_sum 'Ag4 Sb2 Pt2'
_cell_length_a 4.798
_cell_length_b 4.798
_cell_length_c 6.526
_cell_angle_alpha 90.00
_cell_angle_beta 90.00
_cell_angle_gamma 90.00
_symmetry_space_group_name_H-M 'I -4 m 2'
_symmetry_Int_Tables_number 119
_symmetry_space_group_name_Hall 'I -4 -2'
loop_
_atom_site_label
_atom_site_type_symbol
_atom_site_fract_x
_atom_site_fract_y
_atom_site_fract_z
_atom_site_occupancy
Ag1 Ag 0.000 0.000 0.000 1
Ag2 Ag 0.000 0.500 0.250 1
Sb1 Sb 0.000 0.000 0.500 1
Pt1 Pt 0.000 0.500 0.750 1
```

Output
Formation energy without anion corrections, eV/atom: -0.048

VASP calculation (PBE-GGA) on an optimized crystal structure of Ag3SbPt.

```
data_Ag3SbPt
_chemical_formula_sum 'Ag3 Sb1 Pt1'
_cell_length_a 5.070
_cell_length_b 5.070
_cell_length_c 5.070
_cell_angle_alpha 90.00
_cell_angle_beta 90.00
_cell_angle_gamma 90.00
_symmetry_space_group_name_H-M 'P m -3 m'
_symmetry_Int_Tables_number 221
_symmetry_space_group_name_Hall '-P 4 2 3'
loop_
_atom_site_label
_atom_site_type_symbol
_atom_site_fract_x
_atom_site_fract_y
_atom_site_fract_z
_atom_site_occupancy
Ag1 Ag 0.000 0.000 0.500 1
Sb1 Sb 0.500 0.500 0.500 1
Pt1 Pt 0.000 0.000 0.000 1
```

Output
Energy relative to the lowest polymorph listed for this composition, meV per atom: 0
Formation energy without anion corrections, eV/atom: 0.737

VASP calculation (PBE-GGA) on an optimized crystal structure of AgSb2Pt.

```
data_AgSb2Pt
_chemical_formula_sum 'Ag2 Sb4 Pt2'
_cell_length_a 4.246
_cell_length_b 4.246
_cell_length_c 9.342
_cell_angle_alpha 90.00
_cell_angle_beta 90.00
_cell_angle_gamma 90.00
_symmetry_space_group_name_H-M 'I -4 m 2'
_symmetry_Int_Tables_number 119
_symmetry_space_group_name_Hall 'I -4 -2'
loop_
_atom_site_label
_atom_site_type_symbol
_atom_site_fract_x
_atom_site_fract_y
_atom_site_fract_z
_atom_site_occupancy
Ag1 Ag 0.000 0.000 0.000 1
Sb1 Sb 0.000 0.000 0.500 1
Sb2 Sb 0.000 0.500 0.250 1
Pt1 Pt 0.000 0.500 0.750 1
```

Output
Energy relative to the lowest polymorph listed for this composition, meV per atom: 225
Formation energy without anion corrections, eV/atom: 0.079

VASP calculation (PBE-GGA) on an optimized crystal structure of Ag2SbPt.

```
data_Ag2SbPt
_chemical_formula_sum 'Ag4 Sb2 Pt2'
_cell_length_a 5.592
_cell_length_b 8.693
_cell_length_c 3.109
_cell_angle_alpha 90.00
_cell_angle_beta 90.00
_cell_angle_gamma 90.00
_symmetry_space_group_name_H-M 'C m m m'
_symmetry_Int_Tables_number 65
_symmetry_space_group_name_Hall '-C 2 2'
loop_
_atom_site_label
_atom_site_type_symbol
_atom_site_fract_x
_atom_site_fract_y
_atom_site_fract_z
_atom_site_occupancy
Ag1 Ag 0.250 0.250 0.000 1
Sb1 Sb 0.000 0.000 0.500 1
Pt1 Pt 0.000 0.500 0.500 1
```

Output
Formation energy without anion corrections, eV/atom: 0.063

VASP calculation (PBE-GGA) on an optimized crystal structure of AgSb2Pt.

```
data_AgSb2Pt
_chemical_formula_sum 'Ag1 Sb2 Pt1'
_cell_length_a 3.144
_cell_length_b 3.504
_cell_length_c 7.778
_cell_angle_alpha 90.00
_cell_angle_beta 90.00
_cell_angle_gamma 90.00
_symmetry_space_group_name_H-M 'P m m m'
_symmetry_Int_Tables_number 47
loop_
_symmetry_equiv_pos_as_xyz
'x,y,z'
'-x,-y,-z'
'-x,-y,z'
'x,y,-z'
'x,-y,-z'
'-x,y,z'
'-x,y,-z'
'x,-y,z'
loop_
_atom_site_label
_atom_site_type_symbol
_atom_site_fract_x
_atom_site_fract_y
_atom_site_fract_z
_atom_site_occupancy
Ag1 Ag 0.000 0.000 0.000 1
Sb1 Sb 0.500 0.500 0.274 1
Pt1 Pt 0.000 0.000 0.500 1
```

Output
Energy relative to the lowest polymorph listed for this composition, meV per atom: 140
Formation energy without anion corrections, eV/atom: -0.005